Material: TmCu2Pt
Method: DFT, PBE
State: optimized geometry

a b c (Å): 4.181 3.968 3.968
angles (deg): 90.00 90.00 90.00
Atoms (fractional coordinates):
Tm  0.500  0.000  0.000
Cu  0.000  0.000  0.500
Cu  0.000  0.500  0.000
Pt  0.500  0.500  0.500

Calculated values
- DFT formation energy (eV per formula unit) = -1.9
- raw total energy (eV per atom) = -5.141
- SG = P4/mmm, No. 123